Record 1
## Y4AgHg (PBE)

Data for crystalline Y4AgHg at its relaxed geometry.

Computed properties:
ΔE to the lowest computed polymorph   0.000 eV per atom
Crystal system   tetragonal
SG   P4/mmm (123)

Structure (POSCAR):
```
Y4AgHg
1.0
-0.3069 4.9322 1.0804
-3.0721 0.6767 -3.9620
-5.7187 -1.2767 4.2125
Y Hg Ag
4 1 1
direct
0.5014 0.9976 0.7443
0.0011 0.4971 0.2520
0.0014 0.4975 0.7443
0.5012 0.9970 0.2519
0.5013 0.4973 0.9982
0.0013 0.9972 0.4981
```

=====

Record 2
## Y6Ag2Hg (PBE)

Data for crystalline Y6Ag2Hg at its relaxed geometry.

Computed properties:
Crystal system   orthorhombic
SG   Immm (71)

Structure (POSCAR):
```
Y6Ag2Hg
1.0
8.1383 0.1923 -3.0036
-4.1781 7.1486 -2.5945
-0.1226 -0.1923 8.6740
Ag Y Hg
4 12 2
direct
0.5000 0.3661 0.8661
0.5000 0.6339 0.1339
0.3547 0.0000 0.3547
0.6453 0.0000 0.6453
0.1972 0.7532 0.9505
0.1972 0.2468 0.4440
0.4500 0.2714 0.1786
0.2819 0.6075 0.3256
0.8028 0.2468 0.0495
0.0928 0.2714 0.8214
0.7181 0.3925 0.6744
0.7181 0.0437 0.3256
0.8028 0.7532 0.5560
0.2819 0.9563 0.6744
0.5500 0.7286 0.8214
0.9072 0.7286 0.1786
0.0000 0.5000 0.5000
0.0000 0.0000 0.0000
```

=====

Record 3
## Y4AgHg5 (PBE)

Data for crystalline Y4AgHg5 at its relaxed geometry.

Computed properties:
ΔE to the lowest computed polymorph   0.017 eV per atom
Crystal system   tetragonal
SG   P4/mmm (123)

Structure (POSCAR):
```
Y4AgHg5
1.0
-1.4150 3.2360 -1.1009
-3.3732 -1.1295 1.0158
2.6938 6.7896 16.4950
Y Hg Ag
4 5 1
direct
0.0000 0.0000 0.1876
0.0000 0.0000 0.8124
0.0000 0.0000 0.6043
0.0000 0.0000 0.3957
0.5000 0.5000 0.2944
0.5000 0.5000 0.5000
0.5000 0.5000 0.7056
0.5000 0.5000 0.9113
0.5000 0.5000 0.0887
0.0000 0.0000 0.0000
```

=====

These records have formation energy from the elements values of -0.053, -0.232, -0.408 eV per atom, in the order they appear.
These records have Fermi-level density of states values of 7.19, 9.18, 7.86 states/eV/f.u., in the order they appear.